(1)
Co2Ag2W: optimized geometry, PBE-GGA.

For the final energy, the calculation gives -28.312 eV/f.u. For the formation energy, the calculation gives 0.91 eV per atom.

The structure belongs to space group I4/mmm (No. 139); the cell edges are 3.5910, 3.5910 and 12.1104 Å and the angles 90.00°, 90.00° and 90.00°. The asymmetric unit holds Co at (0.0000, 0.0000, 0.0877), Ag at (0.0000, 0.5000, 0.2500) and W at (0.0000, 0.0000, 0.5000).

=====

(2)
Co2AgW: optimized geometry, PBE-GGA.

For the final energy, the calculation gives -28.191 eV/f.u. For the formation energy, the calculation gives 0.46 eV per atom.

The structure belongs to space group I-4m2 (No. 119); the cell edges are 3.6373, 3.6373 and 8.0753 Å and the angles 90.00°, 90.00° and 90.00°. The asymmetric unit holds Co at (0.0000, 0.0000, 0.0000), Co at (0.0000, 0.5000, 0.2500), Ag at (0.0000, 0.0000, 0.5000) and W at (0.0000, 0.5000, 0.7500).

=====

(3)
CoAgW2: optimized geometry, PBE-GGA.

For the final energy, the calculation gives -33.397 eV/f.u. For the formation energy, the calculation gives 0.62 eV per atom.

The structure belongs to space group Imm2 (No. 44); the cell edges are 3.0494, 4.5988 and 8.7510 Å and the angles 90.00°, 90.00° and 90.00°. The asymmetric unit holds Co at (0.0000, 0.0000, 0.0000), Ag at (0.0000, 0.5000, 0.2510), W at (0.0000, 0.0000, 0.4692) and W at (0.0000, 0.5000, 0.7239).

=====

(4)
Y12Co6Ag: optimized geometry, PBE-GGA.

For the final energy, the calculation gives -126.792 eV/f.u. For the formation energy, the calculation gives -0.20 eV per atom.

The structure belongs to space group Im-3 (No. 204); the cell edges are 9.6751, 9.6751 and 9.6751 Å and the angles 90.00°, 90.00° and 90.00°. The asymmetric unit holds Y at (0.0000, 0.1947, 0.3026), Co at (0.0000, 0.3874, 0.5000) and Ag at (0.0000, 0.0000, 0.0000).

=====

(5)
Y5Co2Ag: optimized geometry, PBE-GGA.

For the final energy, the calculation gives -51.069 eV/f.u. For the formation energy, the calculation gives -0.21 eV per atom.

The structure belongs to space group I4/mcm (No. 140); the cell edges are 7.5838, 7.5838 and 13.3276 Å and the angles 90.00°, 90.00° and 90.00°. The asymmetric unit holds Y at (0.0000, 0.0000, 0.0000), Y at (0.1607, 0.3393, 0.1341), Co at (0.1354, 0.3646, 0.5000) and Ag at (0.0000, 0.0000, 0.2500).

=====

(6)
YCo2Ag2: optimized geometry, PBE-GGA.

For the final energy, the calculation gives -25.112 eV/f.u. For the formation energy, the calculation gives 0.25 eV per atom.

The structure belongs to space group I4/mmm (No. 139); the cell edges are 3.7028, 3.7028 and 13.2787 Å and the angles 90.00°, 90.00° and 90.00°. The asymmetric unit holds Y at (0.0000, 0.0000, 0.0000), Co at (0.0000, 0.5000, 0.2500) and Ag at (0.0000, 0.0000, 0.3924).